The following is a PBE-GGA calculation of a relaxed TbSmAlTl crystal, from Alexandria.

a b c (Å): 3.690 3.690 7.750
angles (deg): 90.00 90.00 90.00
Space group P4mm (No. 99)
Asymmetric unit:
Tb  0.000  0.000  0.000 x1
Sm  0.000  0.000  0.528 x1
Al  0.500  0.500  0.769 x1
Tl  0.500  0.500  0.258 x1

- Polymorph energy (0 for the lowest one): 0 meV/atom
- N(E_F): 2.1 states/eV/cell
- ΔH_f (0 K): -0.3680 eV per atom